Entry 1:
Computed, not measured: crystalline MgCdCo3 at its relaxed geometry at the PBE level of DFT.

The structure in extended XYZ format:
```
5
Lattice="4.3935 0.0000 0.0000 0.0000 4.3935 0.0000 0.0000 0.0000 4.3935" Properties=species:S:1:pos:R:3 pbc="T T T"
Mg 0.0000 0.0000 0.0000
Cd 2.1968 2.1968 2.1968
Co 0.0000 0.0000 2.1968
Co 0.0000 2.1968 0.0000
Co 2.1968 0.0000 0.0000
```

Output
Total energy (eV per atom): -3.4798
Density (g cm⁻³): 6.139
Space group: No. 221
E_form (eV per atom): 1.2856


Entry 2:
Computed, not measured: crystalline MgCd3Co at its relaxed geometry at the PBE level of DFT.

The structure in extended XYZ format:
```
5
Lattice="4.9571 0.0000 0.0000 0.0000 4.9571 0.0000 0.0000 0.0000 4.9571" Properties=species:S:1:pos:R:3 pbc="T T T"
Mg 0.0000 0.0000 0.0000
Cd 0.0000 2.4785 2.4785
Cd 2.4785 0.0000 2.4785
Cd 2.4785 2.4785 0.0000
Co 2.4785 2.4785 2.4785
```

Output
Total energy (eV per atom): -1.9011
Density (g cm⁻³): 5.732
Space group: No. 221
E_form (eV per atom): 0.3881
E above lowest polymorph (eV/f.u.): 0.00


Entry 3:
Computed, not measured: crystalline MgCdCo2 at its relaxed geometry at the PBE level of DFT.

The structure in extended XYZ format:
```
4
Lattice="2.8707 0.0000 0.0000 0.0000 4.0692 0.0000 -1.4115 0.0000 5.2776" Properties=species:S:1:pos:R:3 pbc="T T T"
Mg 0.0000 0.0000 0.0000
Cd 1.4509 2.0346 1.6927
Co 0.0285 0.0000 3.0086
Co 0.0123 2.0346 4.0843
```

Output
Total energy (eV per atom): -3.9733
Density (g cm⁻³): 6.857
Space group: No. 6
E_form (eV per atom): 0.2071


Entry 4:
Computed, not measured: crystalline MgCdCo2 at its relaxed geometry at the PBE level of DFT.

The structure in extended XYZ format:
```
4
Lattice="1.4067 0.8122 8.8954 -1.4067 0.8122 8.8954 0.0000 -1.6244 8.8954" Properties=species:S:1:pos:R:3 pbc="T T T"
Mg 0.0000 0.0000 0.0000
Cd 0.0000 0.0000 13.3432
Co 0.0000 0.0000 6.7319
Co 0.0000 0.0000 19.9545
```

Output
Total energy (eV per atom): -3.8308
Density (g cm⁻³): 6.932
Space group: No. 166
E_form (eV per atom): 0.3495


Entry 5:
Computed, not measured: crystalline Mg8Cd2Co at its relaxed geometry at the PBE level of DFT.

The structure in extended XYZ format:
```
11
Lattice="-2.4066 3.3566 7.1159 2.4066 -3.3566 7.1159 2.4066 3.3566 -7.1159" Properties=species:S:1:pos:R:3 pbc="T T T"
Mg 2.4066 1.7630 -1.8492
Mg 0.0000 0.0000 2.5632
Mg 0.0000 1.5502 0.0000
Mg 2.4066 1.7630 1.8492
Mg 0.0000 1.5936 5.2667
Mg 0.0000 5.1631 0.0000
Mg 0.0000 0.0000 11.6687
Mg 0.0000 1.5936 8.9652
Cd 2.4066 0.0000 4.4965
Cd 0.0000 3.3566 2.6195
Co 2.4066 0.0000 0.0000
```

Output
Total energy (eV per atom): -1.9746
Density (g cm⁻³): 3.453
Space group: No. 71
E_form (eV per atom): -0.0025


Entry 6:
Computed, not measured: crystalline Mg2CdCo2 at its relaxed geometry at the PBE level of DFT.

The structure in extended XYZ format:
```
10
Lattice="6.4967 0.0000 0.0000 0.0000 6.4967 0.0000 0.0000 0.0000 3.9085" Properties=species:S:1:pos:R:3 pbc="T T T"
Mg 1.0988 2.1495 0.0000
Mg 2.1495 5.3979 0.0000
Mg 4.3472 1.0988 0.0000
Mg 5.3979 4.3472 0.0000
Cd 0.0000 0.0000 1.9543
Cd 3.2484 3.2484 1.9543
Co 0.7800 4.0283 1.9543
Co 2.4684 0.7800 1.9543
Co 4.0283 5.7167 1.9543
Co 5.7167 2.4684 1.9543
```

Output
Total energy (eV per atom): -3.5279
Density (g cm⁻³): 5.614
Space group: No. 127
E_form (eV per atom): 0.1354
E above lowest polymorph (eV/f.u.): 0.00


Entry 7:
Computed, not measured: crystalline MgCdCo at its relaxed geometry at the PBE level of DFT.

The structure in extended XYZ format:
```
3
Lattice="-1.5532 1.5532 5.1409 1.5532 -1.5532 5.1409 1.5532 1.5532 -5.1409" Properties=species:S:1:pos:R:3 pbc="T T T"
Mg 0.0000 0.0000 0.0000
Cd 0.0000 0.0000 3.0111
Co 0.0000 0.0000 6.5712
```

Output
Total energy (eV per atom): -3.0560
Density (g cm⁻³): 6.549
Space group: No. 107
E_form (eV per atom): 0.1492
E above lowest polymorph (eV/f.u.): 0.04


Entry 8:
Computed, not measured: crystalline Mg3CdCo at its relaxed geometry at the PBE level of DFT.

The structure in extended XYZ format:
```
5
Lattice="4.8179 0.0000 0.0000 0.0000 4.8179 0.0000 0.0000 0.0000 4.8179" Properties=species:S:1:pos:R:3 pbc="T T T"
Mg 0.0000 0.0000 2.4090
Mg 0.0000 2.4090 0.0000
Mg 2.4090 0.0000 0.0000
Cd 2.4090 2.4090 2.4090
Co 0.0000 0.0000 0.0000
```

Output
Total energy (eV per atom): -2.2747
Density (g cm⁻³): 3.627
Space group: No. 221
E_form (eV per atom): 0.2863
E above lowest polymorph (eV/f.u.): 0.00


Entry 9:
Computed, not measured: crystalline Mg4CdCo at its relaxed geometry at the PBE level of DFT.

The structure in extended XYZ format:
```
6
Lattice="0.0000 3.9355 3.9355 3.9355 0.0000 3.9355 3.9355 3.9355 0.0000" Properties=species:S:1:pos:R:3 pbc="T T T"
Mg 2.9560 2.9560 2.9560
Mg 4.9150 4.9150 2.9560
Mg 4.9150 2.9560 4.9150
Mg 2.9560 4.9150 4.9150
Cd 0.0000 0.0000 0.0000
Co 5.9032 5.9032 5.9032
```

Output
Total energy (eV per atom): -2.0029
Density (g cm⁻³): 3.658
Space group: No. 216
E_form (eV per atom): 0.3970
E above lowest polymorph (eV/f.u.): 2.49


Entry 10:
Computed, not measured: crystalline Mg6CdCo at its relaxed geometry at the PBE level of DFT.

The structure in extended XYZ format:
```
8
Lattice="4.8323 0.0000 0.0000 0.0000 3.0942 5.3006 0.0000 -3.0942 5.3006" Properties=species:S:1:pos:R:3 pbc="T T T"
Mg 0.0000 0.0000 0.0000
Mg 0.0000 -1.4605 2.7080
Mg 0.0000 1.4605 2.7080
Mg 0.0000 0.0000 5.2134
Mg 2.4162 -1.5366 6.1780
Mg 2.4162 1.5366 6.1780
Cd 2.4162 0.0000 8.8261
Co 2.4162 0.0000 3.5563
```

Output
Total energy (eV per atom): -2.1214
Density (g cm⁻³): 3.323
Space group: No. 38
E_form (eV per atom): 0.0772


Entry 11:
Computed, not measured: crystalline MgCdCo2 at its relaxed geometry at the PBE level of DFT.

The structure in extended XYZ format:
```
4
Lattice="-1.5247 2.2409 4.4689 1.5247 -2.2409 4.4689 1.5247 2.2409 -4.4689" Properties=species:S:1:pos:R:3 pbc="T T T"
Mg 0.0000 0.0000 0.0000
Cd 1.5247 0.0000 2.5171
Co 0.0000 0.0000 4.8412
Co 0.0000 2.2409 2.1046
```

Output
Total energy (eV per atom): -4.0057
Density (g cm⁻³): 6.922
Space group: No. 44
E_form (eV per atom): 0.1746


Entry 12:
Computed, not measured: crystalline Mg2CdCo2 at its relaxed geometry at the PBE level of DFT.

The structure in extended XYZ format:
```
10
Lattice="7.5365 0.0000 0.0000 0.0000 7.5365 0.0000 0.0000 0.0000 2.8180" Properties=species:S:1:pos:R:3 pbc="T T T"
Mg 1.0013 2.7670 0.0000
Mg 2.7670 6.5352 0.0000
Mg 4.7695 1.0013 0.0000
Mg 6.5352 4.7695 0.0000
Cd 0.0000 0.0000 0.0000
Cd 3.7682 3.7682 0.0000
Co 1.2324 5.0006 1.4090
Co 2.5359 1.2324 1.4090
Co 5.0006 6.3041 1.4090
Co 6.3041 2.5359 1.4090
```

Output
Total energy (eV per atom): -3.3541
Density (g cm⁻³): 5.787
Space group: No. 127
E_form (eV per atom): 0.3091
E above lowest polymorph (eV/f.u.): 0.87